Sc2Zn2CdAg2Au: relaxed, PBE-GGA.

Cell: 4.6689 4.6689 6.7110 Å, 90.00 90.00 90.00°
Last column: nearest neighbours and their distance in Å.
Space group P-4m2 (No. 115)
Inequivalent atoms, fractional coordinates:
Sc: 0.0000 0.5000 0.2359 [2 per cell]  2 Au 2.82, 4 Ag 2.82-2.93, 2 Cd 2.93
Zn: 0.0000 0.5000 0.7529 [2 per cell]  2 Au 2.86, 4 Ag 2.86-2.89, 2 Cd 2.89
Cd: 0.5000 0.5000 0.5000 [1 per cell]  4 Zn 2.89, 4 Sc 2.93
Ag: 0.0000 0.0000 0.5000 [1 per cell]  4 Zn 2.89, 4 Sc 2.93
Ag: 0.5000 0.5000 0.0000 [1 per cell]  4 Sc 2.82, 4 Zn 2.86
Au: 0.0000 0.0000 0.0000 [1 per cell]  4 Sc 2.82, 4 Zn 2.86

electronic total energy = -3.4529 eV per atom
formation energy from the elements = -0.328 eV/atom
ρ = 8.5 Mg/m³